No. 1
Below is Np2Be4Ge3Os after structural relaxation, with properties calculated at the PBE level.

Calculated values
The calculation puts the formation energy at -1.01 eV/f.u. As for the calculated total energy: -6.687 eV per atom. The value obtained for the theoretical density is 10.173 g cm⁻³. The calculation puts the density of states at the Fermi level at 1.75 states/eV per atom. Its symmetry is P-4m2 (115).

Lattice parameters (Å, degrees): 3.931 3.931 9.698 90.00 90.00 90.00
Site moments in Bohr magnetons follow the coordinates.
Atoms (fractional coordinates):
Np  0.500  0.000  0.256  3.74
Np  0.000  0.500  0.744  3.74
Be  0.500  0.500  0.000  0.00
Be  0.000  0.000  0.000  0.00
Be  0.500  0.000  0.631  0.02
Be  0.000  0.500  0.369  0.02
Ge  0.000  0.000  0.500  -0.04
Ge  0.500  0.000  0.867  -0.06
Ge  0.000  0.500  0.133  -0.06
Os  0.500  0.500  0.500  -0.17

=====

No. 2
Below is Nd2Cu3Ag after structural relaxation, with properties calculated at the PBE level.

Calculated values
The calculation puts the formation energy at -1.23 eV/f.u. As for the calculated total energy: -4.317 eV per atom. The value obtained for the theoretical density is 7.709 g cm⁻³. The calculation puts the density of states at the Fermi level at 0.57 states/eV per atom. Its symmetry is Fmmm (69).

Lattice parameters (Å, degrees): 5.797 5.797 8.501 106.37 106.37 99.98
Atoms (fractional coordinates):
Nd  0.250  0.750  0.500
Nd  0.753  0.753  0.000
Nd  0.750  0.250  0.500
Nd  0.247  0.247  0.000
Cu  0.323  0.839  0.162
Cu  0.161  0.677  0.838
Cu  0.677  0.161  0.838
Cu  0.839  0.323  0.162
Cu  0.162  0.162  0.323
Cu  0.838  0.838  0.677
Ag  0.666  0.666  0.333
Ag  0.334  0.334  0.667

=====

No. 3
Below is SrAgTe2 after structural relaxation, with properties calculated at the PBE level.

Calculated values
As for the calculated total energy: -3.448 eV per atom. The value obtained for the theoretical density is 5.520 g cm⁻³. The calculation puts the density of states at the Fermi level at 0.33 states/eV per atom. Its symmetry is Pm (6). Its uncorrected formation energy is -0.743 eV per atom.

Lattice parameters (Å, degrees): 5.252 4.494 6.634 59.97 90.00 90.00
Atoms (fractional coordinates):
Ag  0.000  0.555  0.383
Sr  0.500  0.549  0.838
Te  0.000  0.022  0.886
Te  0.500  0.374  0.393

=====

No. 4
Below is Pm2PBr2 after structural relaxation, with properties calculated at the PBE level.

Calculated values
As for the calculated total energy: -5.429 eV per atom. The value obtained for the theoretical density is 4.987 g cm⁻³. The calculation puts the density of states at the Fermi level at 0.38 states/eV per atom. Its symmetry is R-3m (166). Its uncorrected formation energy is -1.778 eV per atom. The energy above the most stable polymorph in this dataset is 0 meV/atom.

Lattice parameters (Å, degrees): 4.127 4.127 11.111 79.30 79.30 60.00
Atoms (fractional coordinates):
Pm  0.618  0.618  0.145
Pm  0.382  0.382  0.855
P  0.000  0.000  0.000
Br  0.228  0.228  0.317
Br  0.772  0.772  0.683

=====

No. 5
Below is PrNd4Er3Te8 after structural relaxation, with properties calculated at the PBE level.

Calculated values
As for the calculated total energy: -5.259 eV per atom. The value obtained for the theoretical density is 7.524 g cm⁻³. The calculation puts the density of states at the Fermi level at 0.71 states/eV per atom. Its symmetry is R-3m (166). Its uncorrected formation energy is -1.342 eV per atom.

Lattice parameters (Å, degrees): 8.797 8.958 8.796 119.40 120.00 90.00
Atoms (fractional coordinates):
Pr  0.000  0.500  0.000
Nd  0.500  0.000  0.000
Nd  0.500  0.000  0.500
Nd  0.000  0.000  0.000
Nd  0.000  0.000  0.500
Er  0.500  0.500  0.000
Er  0.500  0.500  0.500
Er  0.000  0.500  0.500
Te  0.251  0.740  0.989
Te  0.251  0.740  0.502
Te  0.255  0.266  0.511
Te  0.738  0.740  0.989
Te  0.262  0.260  0.011
Te  0.745  0.734  0.489
Te  0.749  0.260  0.498
Te  0.749  0.260  0.011

=====

No. 6
Below is Ta2SiIrPt after structural relaxation, with properties calculated at the PBE level.

Calculated values
As for the calculated total energy: -8.197 eV per atom. The value obtained for the theoretical density is 14.043 g cm⁻³. The calculation puts the density of states at the Fermi level at 1.70 states/eV per atom. Its symmetry is P4/mmm (123). Its uncorrected formation energy is 0.609 eV per atom.

Lattice parameters (Å, degrees): 4.616 4.314 4.616 90.00 90.00 90.00
Atoms (fractional coordinates):
Si  0.000  0.000  0.000
Ir  0.000  0.500  0.000
Pt  0.500  0.500  0.500
Ta  0.000  0.000  0.500
Ta  0.500  0.000  0.000

=====

No. 7
Below is Cd3Si after structural relaxation, with properties calculated at the PBE level.

Calculated values
As for the calculated total energy: -1.759 eV per atom. The value obtained for the theoretical density is 7.075 g cm⁻³. The calculation puts the density of states at the Fermi level at 0.32 states/eV per atom. Its symmetry is R-3m (166). Its uncorrected formation energy is 0.283 eV per atom. The energy above the most stable polymorph in this dataset is 77 meV/atom.

Lattice parameters (Å, degrees): 5.844 5.844 5.844 117.16 117.16 117.16
Atoms (fractional coordinates):
Cd  0.000  0.000  0.000
Cd  0.500  0.000  0.500
Cd  0.500  0.500  0.000
Si  0.000  0.500  0.500

=====

No. 8
Below is BaBr after structural relaxation, with properties calculated at the PBE level.

Calculated values
As for the calculated total energy: -3.336 eV per atom. The value obtained for the theoretical density is 4.807 g cm⁻³. The calculation puts the density of states at the Fermi level at 0.49 states/eV per atom. Its symmetry is R-3m (166). Its uncorrected formation energy is -1.538 eV per atom.

Lattice parameters (Å, degrees): 5.173 5.173 5.173 50.13 50.13 50.13
Atoms (fractional coordinates):
Ba  0.000  0.000  0.000
Br  0.500  0.500  0.500

=====

No. 9
Below is Nb2I8Cl after structural relaxation, with properties calculated at the PBE level.

Calculated values
As for the calculated total energy: -3.606 eV per atom. The value obtained for the theoretical density is 3.185 g cm⁻³. The calculation puts the density of states at the Fermi level at 0.51 states/eV per atom. Its symmetry is C2/m (12). Its uncorrected formation energy is -0.480 eV per atom.

Lattice parameters (Å, degrees): 7.927 9.680 9.680 64.50 103.41 103.41
Site moments in Bohr magnetons follow the coordinates.
Atoms (fractional coordinates):
I  0.700  0.087  0.646  0.00
I  0.300  0.354  0.913  0.00
I  0.825  0.177  0.177  0.00
I  0.175  0.823  0.823  0.00
I  0.700  0.646  0.087  0.00
I  0.300  0.913  0.354  0.00
I  0.300  0.326  0.326  0.00
I  0.700  0.674  0.674  0.00
Nb  0.147  0.158  0.158  0.46
Nb  0.853  0.842  0.842  0.46
Cl  0.000  0.000  0.000  -0.02

=====

No. 10
Below is Cu5SnAu8 after structural relaxation, with properties calculated at the PBE level.

Calculated values
The calculation puts the formation energy at 0.63 eV/f.u. As for the calculated total energy: -3.577 eV per atom. The value obtained for the theoretical density is 13.839 g cm⁻³. The calculation puts the density of states at the Fermi level at 0.42 states/eV per atom. Its symmetry is I-4 (82).

Lattice parameters (Å, degrees): 6.794 6.794 6.794 109.74 108.93 109.74
Atoms (fractional coordinates):
Cu  0.030  0.353  0.127
Cu  0.873  0.904  0.226
Cu  0.774  0.647  0.678
Cu  0.500  0.000  0.500
Cu  0.322  0.096  0.970
Sn  0.250  0.500  0.750
Au  0.129  0.743  0.067
Au  0.933  0.062  0.676
Au  0.752  0.257  0.355
Au  0.645  0.397  0.903
Au  0.506  0.603  0.248
Au  0.614  0.938  0.871
Au  0.324  0.257  0.386
Au  0.097  0.743  0.494

=====

No. 11
Below is SiAg2P after structural relaxation, with properties calculated at the PBE level.

Calculated values
As for the calculated total energy: -3.750 eV per atom. The value obtained for the theoretical density is 6.800 g cm⁻³. The calculation puts the density of states at the Fermi level at 0.24 states/eV per atom. Its symmetry is R-3m (166). Its uncorrected formation energy is 0.383 eV per atom. The energy above the most stable polymorph in this dataset is 221 meV/atom.

Lattice parameters (Å, degrees): 8.528 8.528 8.528 20.58 20.58 20.58
Atoms (fractional coordinates):
Ag  0.000  0.000  0.000
Ag  0.500  0.500  0.500
P  0.250  0.250  0.250
Si  0.750  0.750  0.750

=====

No. 12
Below is UAlIr2 after structural relaxation, with properties calculated at the PBE level.

Calculated values
The calculation puts the formation energy at -1.45 eV/f.u. As for the calculated total energy: -8.550 eV per atom. The value obtained for the theoretical density is 16.784 g cm⁻³. The calculation puts the density of states at the Fermi level at 0.90 states/eV per atom. Its symmetry is R-3m (166).

Lattice parameters (Å, degrees): 2.838 2.838 9.354 81.27 81.27 60.00
Site moments in Bohr magnetons follow the coordinates.
Atoms (fractional coordinates):
Ir  0.740  0.740  0.779  0.02
Ir  0.260  0.260  0.221  0.02
U  0.500  0.500  0.500  0.91
Al  0.000  0.000  0.000  0.00

=====

- The highest calculated total energy belongs to which entry?
  Cd3Si